Nd2H6Se7O20 | PBE | optimized geometry

**Magnetic moment**: 0.00 μB/f.u.
**Final energy**: -5.64 eV per atom

```
data_Nd2H6Se7O20
_chemical_formula_sum 'Nd8 H24 Se28 O80'
_cell_length_a 10.7952
_cell_length_b 7.4101
_cell_length_c 23.9395
_cell_angle_alpha 90.00
_cell_angle_beta 90.00
_cell_angle_gamma 90.00
_space_group_name_H-M_alt 'P 1'
_space_group_IT_number 1
_space_group_name_Hall 'P 1'
loop_
_atom_site_label
_atom_site_type_symbol
_atom_site_fract_x
_atom_site_fract_y
_atom_site_fract_z
Nd1 Nd 0.0686 0.0432 0.0000
Nd2 Nd 0.1614 0.9548 0.8233
Nd3 Nd 0.3386 0.4548 0.3233
Nd4 Nd 0.4314 0.5432 0.5000
Nd5 Nd 0.5686 0.4568 0.0000
Nd6 Nd 0.6614 0.5452 0.8233
Nd7 Nd 0.8386 0.0452 0.3233
Nd8 Nd 0.9314 0.9568 0.5000
H1 H 0.0425 0.1837 0.6003
H2 H 0.1008 0.8187 0.1160
H3 H 0.1541 0.4820 0.1807
H4 H 0.1571 0.7190 0.6989
H5 H 0.1581 0.6107 0.5487
H6 H 0.2174 0.4523 0.5838
H7 H 0.2826 0.9523 0.0838
H8 H 0.3419 0.1107 0.0487
H9 H 0.3429 0.2190 0.1989
H10 H 0.3459 0.9820 0.6807
H11 H 0.3992 0.3187 0.6160
H12 H 0.4575 0.6837 0.1003
H13 H 0.5425 0.3163 0.6003
H14 H 0.6008 0.6813 0.1160
H15 H 0.6541 0.0180 0.1807
H16 H 0.6571 0.7810 0.6989
H17 H 0.6581 0.8893 0.5487
H18 H 0.7174 0.0477 0.5838
H19 H 0.7826 0.5477 0.0838
H20 H 0.8419 0.3893 0.0487
H21 H 0.8429 0.2810 0.1989
H22 H 0.8459 0.5180 0.6807
H23 H 0.8992 0.1813 0.6160
H24 H 0.9575 0.8163 0.1003
Se1 Se 0.0052 0.5604 0.3020
Se2 Se 0.0237 0.2545 0.1424
Se3 Se 0.0638 0.2958 0.4088
Se4 Se 0.1728 0.0375 0.2811
Se5 Se 0.1823 0.2682 0.6966
Se6 Se 0.2088 0.7940 0.4226
Se7 Se 0.2175 0.5679 0.0247
Se8 Se 0.2825 0.0679 0.5247
Se9 Se 0.2912 0.2940 0.9226
Se10 Se 0.3177 0.7682 0.1966
Se11 Se 0.3272 0.5375 0.7811
Se12 Se 0.4362 0.7958 0.9088
Se13 Se 0.4763 0.7545 0.6424
Se14 Se 0.4948 0.0604 0.8020
Se15 Se 0.5052 0.9396 0.3020
Se16 Se 0.5237 0.2455 0.1424
Se17 Se 0.5638 0.2042 0.4088
Se18 Se 0.6728 0.4625 0.2811
Se19 Se 0.6823 0.2318 0.6966
Se20 Se 0.7088 0.7060 0.4226
Se21 Se 0.7175 0.9321 0.0247
Se22 Se 0.7825 0.4321 0.5247
Se23 Se 0.7912 0.2060 0.9226
Se24 Se 0.8177 0.7318 0.1966
Se25 Se 0.8272 0.9625 0.7811
Se26 Se 0.9362 0.7042 0.9088
Se27 Se 0.9763 0.7455 0.6424
Se28 Se 0.9948 0.4396 0.8020
O1 O 0.0070 0.2706 0.0726
O2 O 0.0106 0.9076 0.9030
O3 O 0.0280 0.1170 0.2698
O4 O 0.0351 0.8854 0.0965
O5 O 0.0476 0.5947 0.8579
O6 O 0.0745 0.4795 0.1581
O7 O 0.0786 0.7419 0.4574
O8 O 0.0924 0.2657 0.8146
O9 O 0.1340 0.1062 0.5039
O10 O 0.1350 0.7083 0.6578
O11 O 0.1355 0.7251 0.9900
O12 O 0.1436 0.6319 0.3269
O13 O 0.1767 0.9018 0.2154
O14 O 0.1851 0.3618 0.9823
O15 O 0.1889 0.2584 0.3678
O16 O 0.2109 0.2620 0.6269
O17 O 0.2117 0.0935 0.9197
O18 O 0.2233 0.0604 0.7204
O19 O 0.2282 0.7074 0.7603
O20 O 0.2339 0.5388 0.5528
O21 O 0.2661 0.0388 0.0528
O22 O 0.2718 0.2074 0.2603
O23 O 0.2767 0.5604 0.2204
O24 O 0.2883 0.5935 0.4197
O25 O 0.2891 0.7620 0.1269
O26 O 0.3111 0.7584 0.8678
O27 O 0.3149 0.8618 0.4823
O28 O 0.3233 0.4018 0.7154
O29 O 0.3564 0.1319 0.8269
O30 O 0.3650 0.2083 0.1578
O31 O 0.3645 0.2251 0.4900
O32 O 0.3660 0.6062 0.0039
O33 O 0.4076 0.7657 0.3146
O34 O 0.4214 0.2419 0.9574
O35 O 0.4255 0.9795 0.6581
O36 O 0.4524 0.0947 0.3579
O37 O 0.4649 0.3854 0.5965
O38 O 0.4720 0.6170 0.7698
O39 O 0.4894 0.4076 0.4030
O40 O 0.4930 0.7706 0.5726
O41 O 0.5070 0.2294 0.0726
O42 O 0.5106 0.5924 0.9030
O43 O 0.5280 0.3830 0.2698
O44 O 0.5351 0.6146 0.0965
O45 O 0.5476 0.9053 0.8579
O46 O 0.5745 0.0205 0.1581
O47 O 0.5786 0.7581 0.4574
O48 O 0.5924 0.2343 0.8146
O49 O 0.6340 0.3938 0.5039
O50 O 0.6355 0.7749 0.9900
O51 O 0.6350 0.7917 0.6578
O52 O 0.6436 0.8681 0.3269
O53 O 0.6767 0.5982 0.2154
O54 O 0.6851 0.1382 0.9823
O55 O 0.6889 0.2416 0.3678
O56 O 0.7109 0.2380 0.6269
O57 O 0.7117 0.4065 0.9197
O58 O 0.7233 0.4396 0.7204
O59 O 0.7282 0.7926 0.7603
O60 O 0.7339 0.9612 0.5528
O61 O 0.7661 0.4612 0.0528
O62 O 0.7718 0.2926 0.2603
O63 O 0.7767 0.9396 0.2204
O64 O 0.7883 0.9065 0.4197
O65 O 0.7891 0.7380 0.1269
O66 O 0.8111 0.7416 0.8678
O67 O 0.8149 0.6382 0.4823
O68 O 0.8233 0.0982 0.7154
O69 O 0.8564 0.3681 0.8269
O70 O 0.8645 0.2749 0.4900
O71 O 0.8650 0.2917 0.1578
O72 O 0.8660 0.8938 0.0039
O73 O 0.9076 0.7343 0.3146
O74 O 0.9214 0.2581 0.9574
O75 O 0.9255 0.5205 0.6581
O76 O 0.9524 0.4053 0.3579
O77 O 0.9649 0.1146 0.5965
O78 O 0.9720 0.8830 0.7698
O79 O 0.9894 0.0924 0.4030
O80 O 0.9930 0.7294 0.5726
```